VASP calculation (PBE) on a geometry-optimized LaZrW2 structure.

The structure in extended XYZ format:
```
4
Lattice="-0.154 -3.090 -0.997 3.070 0.186 -1.051 2.749 -2.579 7.571" Properties=species:S:1:pos:R:3 pbc="T T T"
La 3.621 -3.481 4.933
W 0.159 -0.149 0.437
W 2.069 -2.025 0.658
Zr 1.191 -1.117 3.281
```

Results
E   -9.60 eV per atom
SG   P4mm (99)

=====

VASP calculation (PBE) on a geometry-optimized Na3MnCr structure.

The structure in extended XYZ format:
```
5
Lattice="5.683 0.000 0.000 0.000 5.683 0.000 0.000 0.000 5.683" Properties=species:S:1:pos:R:3 pbc="T T T"
Cr 0.000 0.000 0.000
Mn 2.842 2.842 2.842
Na 0.000 2.842 0.000
Na 0.000 0.000 2.842
Na 2.842 0.000 0.000
```

Results
E   -3.35 eV per atom
SG   Pm-3m (221)

=====

VASP calculation (PBE) on a geometry-optimized CaZr2Te structure.

The structure in extended XYZ format:
```
4
Lattice="4.599 0.000 0.000 0.000 3.834 0.009 0.000 1.895 6.013" Properties=species:S:1:pos:R:3 pbc="T T T"
Ca 0.000 3.099 3.444
Te 2.299 5.015 4.440
Zr 0.000 3.116 0.304
Zr 2.299 1.197 0.853
```

Results
E   -5.87 eV per atom
SG   Pm (6)

=====

VASP calculation (PBE) on a geometry-optimized CrFeCl structure.

The structure in extended XYZ format:
```
3
Lattice="-1.598 2.964 -2.150 -1.930 -3.480 0.348 -1.338 0.975 2.339" Properties=species:S:1:pos:R:3 pbc="T T T"
Cr -1.971 1.007 -0.857
Fe -2.820 -0.603 1.265
Cl -0.074 0.054 0.129
```

Results
E   -6.01 eV per atom
SG   P3m1 (156)

=====

VASP calculation (PBE) on a geometry-optimized Sm2TlIn structure.

The structure in extended XYZ format:
```
4
Lattice="-2.624 2.686 -0.717 -2.220 -0.276 -3.100 -8.165 -4.224 3.866" Properties=species:S:1:pos:R:3 pbc="T T T"
Tl 0.000 0.000 0.000
Sm -3.265 -0.463 0.022
Sm -9.744 -1.351 0.027
In -6.505 -0.907 0.025
```

Results
E   -3.93 eV per atom
SG   R-3m (166)

=====

VASP calculation (PBE) on a geometry-optimized Os3Cl structure.

The structure in extended XYZ format:
```
4
Lattice="2.772 0.000 0.000 0.000 3.580 0.000 0.000 0.000 6.813" Properties=species:S:1:pos:R:3 pbc="T T T"
Cl 0.000 0.000 0.000
Os 1.386 1.790 4.734
Os 0.000 0.000 3.407
Os 1.386 1.790 2.079
```

Results
E   -7.92 eV per atom
SG   Pmmm (47)